# 1
! LiThPd3, relaxed, DFT PBE; values from VASP
! Calculated volume: 20.55 Å³ per atom
! Size of the total moment: 0.0 μB/cell
! ρ: 9.020 Mg/m³
! Space group: No. 63
! E_tot: -108.7 eV per cell
! Energy above the most stable polymorph in this dataset: 84 kJ/mol of formula units
&SYSTEM
  ibrav = 0, nat = 20, ntyp = 3
/
ATOMIC_SPECIES
Pd 106.42 Pd.upf
Th 232.04 Th.upf
Li 6.94 Li.upf
ATOMIC_POSITIONS crystal
Pd 0.676 0.324 0.500
Th 0.000 0.500 0.500
Pd 0.087 0.087 0.107
Pd 0.913 0.913 0.607
Th 0.500 0.000 0.500
Pd 0.324 0.676 0.000
Pd 0.822 0.470 0.250
Pd 0.530 0.178 0.750
Th 0.000 0.500 0.000
Pd 0.913 0.913 0.893
Th 0.500 0.000 0.000
Li 0.117 0.117 0.750
Pd 0.087 0.087 0.393
Li 0.569 0.569 0.750
Pd 0.324 0.676 0.500
Li 0.883 0.883 0.250
Pd 0.178 0.530 0.750
Pd 0.676 0.324 0.000
Pd 0.470 0.822 0.250
Li 0.431 0.431 0.250
CELL_PARAMETERS angstrom
6.584 1.141 0.000
1.190 6.575 0.000
0.000 0.000 9.803



# 2
! LiAu2Se, relaxed, DFT PBE; values from VASP
! Calculated volume: 18.66 Å³ per atom
! Formation energy (no corrections): -1.17 eV/f.u.
! Size of the total moment: 0.0 μB/cell
! ρ: 10.674 Mg/m³
! Space group: No. 10
! E_tot: -13.1 eV per cell
! Energy above the most stable polymorph in this dataset: 9 kJ/mol of formula units
&SYSTEM
  ibrav = 0, nat = 4, ntyp = 3
/
ATOMIC_SPECIES
Au 196.97 Au.upf
Se 78.96 Se.upf
Li 6.94 Li.upf
ATOMIC_POSITIONS crystal
Au 0.000 0.505 0.497
Se 0.500 0.750 0.750
Au 0.000 0.995 0.003
Li 0.500 0.250 0.250
CELL_PARAMETERS angstrom
5.418 0.000 0.000
0.000 2.883 0.006
0.000 -0.054 4.780



# 3
! TeOsCl2, relaxed, DFT PBE; values from VASP
! Calculated volume: 27.54 Å³ per atom
! Formation energy (no corrections): -0.18 eV/f.u.
! Size of the total moment: 0.0 μB/cell
! ρ: 5.860 Mg/m³
! Space group: No. 8
! E_tot: -18.2 eV per cell
! Energy above the most stable polymorph in this dataset: 0 kJ/mol of formula units
&SYSTEM
  ibrav = 0, nat = 4, ntyp = 3
/
ATOMIC_SPECIES
Cl 35.45 Cl.upf
Os 190.23 Os.upf
Te 127.60 Te.upf
ATOMIC_POSITIONS crystal
Cl 0.120 0.120 0.047
Os 0.460 0.460 0.473
Te 0.124 0.124 0.340
Cl 0.796 0.796 0.640
CELL_PARAMETERS angstrom
-2.787 -1.789 -2.138
0.898 -3.188 -2.137
-1.792 -4.717 6.448



# 4
! Al4Zn, relaxed, DFT PBE; values from VASP
! Calculated volume: 16.31 Å³ per atom
! Size of the total moment: 0.0 μB/cell
! ρ: 3.530 Mg/m³
! Space group: No. 166
! E_tot: -16.2 eV per cell
! Energy above the most stable polymorph in this dataset: 0 kJ/mol of formula units
&SYSTEM
  ibrav = 0, nat = 5, ntyp = 2
/
ATOMIC_SPECIES
Al 26.98 Al.upf
Zn 65.41 Zn.upf
ATOMIC_POSITIONS crystal
Al 0.799 0.799 0.602
Zn 0.000 0.000 0.000
Al 0.601 0.601 0.196
Al 0.399 0.399 0.804
Al 0.201 0.201 0.398
CELL_PARAMETERS angstrom
2.810 0.000 0.000
1.405 2.434 0.000
1.405 0.811 11.920



# 5
! CaWS2, relaxed, DFT PBE; values from VASP
! Calculated volume: 16.09 Å³ per atom
! Formation energy (no corrections): -1.83 eV/f.u.
! Size of the total moment: 0.0 μB/cell
! ρ: 7.430 Mg/m³
! Space group: No. 225
! E_tot: -25.0 eV per cell
! Energy above the most stable polymorph in this dataset: 36 kJ/mol of formula units
&SYSTEM
  ibrav = 0, nat = 4, ntyp = 3
/
ATOMIC_SPECIES
S 32.06 S.upf
W 183.84 W.upf
Ca 40.08 Ca.upf
ATOMIC_POSITIONS crystal
S 0.250 0.250 0.250
S 0.750 0.750 0.750
W 0.500 0.500 0.500
Ca 0.000 0.000 0.000
CELL_PARAMETERS angstrom
0.000 3.181 3.181
3.181 0.000 3.181
3.181 3.181 0.000



# 6
! ZrZnAg, relaxed, DFT PBE; values from VASP
! Calculated volume: 21.49 Å³ per atom
! Size of the total moment: 0.0 μB/cell
! ρ: 6.812 Mg/m³
! Space group: No. 63
! E_tot: -25.0 eV per cell
&SYSTEM
  ibrav = 0, nat = 6, ntyp = 3
/
ATOMIC_SPECIES
Ag 107.87 Ag.upf
Zn 65.41 Zn.upf
Zr 91.22 Zr.upf
ATOMIC_POSITIONS crystal
Ag 0.561 0.250 0.123
Ag 0.439 0.750 0.877
Zn 0.858 0.750 0.716
Zn 0.142 0.250 0.284
Zr 0.702 0.750 0.405
Zr 0.298 0.250 0.595
CELL_PARAMETERS angstrom
4.365 0.000 0.000
0.000 3.160 0.000
-2.182 0.000 9.350



# 7
! CoPtCl2, relaxed, DFT PBE; values from VASP
! Calculated volume: 17.31 Å³ per atom
! Formation energy (no corrections): 1.53 eV/f.u.
! Size of the total moment: 2.2 μB/cell
! ρ: 7.794 Mg/m³
! Space group: No. 71
! E_tot: -15.3 eV per cell
! Energy above the most stable polymorph in this dataset: 183 kJ/mol of formula units
&SYSTEM
  ibrav = 0, nat = 4, ntyp = 3
/
ATOMIC_SPECIES
Cl 35.45 Cl.upf
Co 58.93 Co.upf
Pt 195.08 Pt.upf
ATOMIC_POSITIONS crystal
Cl 0.528 0.528 0.000
Co 0.750 0.250 0.500
Cl 0.972 0.972 0.000
Pt 0.250 0.750 0.500
CELL_PARAMETERS angstrom
-4.203 -2.795 1.100
-0.166 -3.152 -4.089
2.481 1.330 4.331



# 8
! Ta2CuRePb, relaxed, DFT PBE; values from VASP
! Calculated volume: 25.58 Å³ per atom
! Size of the total moment: 0.0 μB/cell
! ρ: 10.632 Mg/m³
! Space group: No. 123
! E_tot: -29.7 eV per cell
&SYSTEM
  ibrav = 0, nat = 5, ntyp = 4
/
ATOMIC_SPECIES
Ta 180.95 Ta.upf
Cu 63.55 Cu.upf
Pb 207.20 Pb.upf
Re 186.21 Re.upf
ATOMIC_POSITIONS crystal
Ta 0.500 0.000 0.000
Ta 0.000 0.000 0.500
Cu 0.500 0.500 0.500
Pb 0.000 0.000 0.000
Re 0.000 0.500 0.000
CELL_PARAMETERS angstrom
5.097 0.000 0.000
0.000 4.924 0.000
0.000 0.000 5.097



# 9
! Li5SiAs3, relaxed, DFT PBE; values from VASP
! Calculated volume: 18.08 Å³ per atom
! Formation energy (no corrections): -4.68 eV/f.u.
! Size of the total moment: 0.0 μB/cell
! ρ: 2.934 Mg/m³
! Space group: No. 15
! E_tot: -67.3 eV per cell
&SYSTEM
  ibrav = 0, nat = 18, ntyp = 3
/
ATOMIC_SPECIES
Li 6.94 Li.upf
Si 28.09 Si.upf
As 74.92 As.upf
ATOMIC_POSITIONS crystal
Li 0.911 0.422 0.411
Li 0.578 0.089 0.089
Li 0.748 0.252 0.250
Si 0.741 0.259 0.750
Li 0.586 0.089 0.569
Si 0.259 0.741 0.250
Li 0.911 0.414 0.931
As 0.373 0.313 0.822
As 0.313 0.373 0.322
As 0.000 0.000 0.500
As 0.687 0.627 0.678
As 0.000 0.000 0.000
Li 0.252 0.748 0.750
Li 0.089 0.578 0.589
As 0.627 0.687 0.178
Li 0.089 0.586 0.069
Li 0.414 0.911 0.431
Li 0.422 0.911 0.911
CELL_PARAMETERS angstrom
-7.065 0.565 1.830
-6.037 -2.855 -2.996
-1.930 -6.989 4.542



# 10
! FeGe2Pt, relaxed, DFT PBE; values from VASP
! Calculated volume: 14.65 Å³ per atom
! Size of the total moment: 2.0 μB/cell
! ρ: 11.230 Mg/m³
! Space group: No. 225
! E_tot: -23.8 eV per cell
! Energy above the most stable polymorph in this dataset: 2 kJ/mol of formula units
&SYSTEM
  ibrav = 0, nat = 4, ntyp = 3
/
ATOMIC_SPECIES
Ge 72.64 Ge.upf
Pt 195.08 Pt.upf
Fe 55.84 Fe.upf
ATOMIC_POSITIONS crystal
Ge 0.750 0.750 0.750
Pt 0.500 0.500 0.500
Ge 0.250 0.250 0.250
Fe 0.000 0.000 0.000
CELL_PARAMETERS angstrom
1.086 -4.154 0.756
-2.975 -3.151 -0.475
0.312 -2.810 -3.319



# 11
! RbPb4I8, relaxed, DFT PBE; values from VASP
! Calculated volume: 53.01 Å³ per atom
! Formation energy (no corrections): -8.80 eV/f.u.
! Size of the total moment: 0.0 μB/cell
! ρ: 4.649 Mg/m³
! Space group: No. 166
! E_tot: -37.0 eV per cell
! Energy above the most stable polymorph in this dataset: 0 kJ/mol of formula units
&SYSTEM
  ibrav = 0, nat = 13, ntyp = 3
/
ATOMIC_SPECIES
I 126.90 I.upf
Pb 207.20 Pb.upf
Rb 85.47 Rb.upf
ATOMIC_POSITIONS crystal
I 0.471 0.235 0.208
Pb 0.000 0.500 0.000
I 0.529 0.265 0.794
I 0.027 0.765 0.792
I 0.973 0.235 0.208
Rb 0.000 0.500 0.500
Pb 0.000 0.000 0.000
I 0.471 0.735 0.206
I 0.027 0.263 0.792
I 0.973 0.737 0.208
I 0.529 0.765 0.792
Pb 0.500 0.000 0.000
Pb 0.500 0.500 0.000
CELL_PARAMETERS angstrom
8.560 -0.001 -4.618
-5.525 8.004 -0.001
-0.069 -0.047 10.114



# 12
! Sm6TmIn5, relaxed, DFT PBE; values from VASP
! Calculated volume: 28.59 Å³ per atom
! Size of the total moment: 0.0 μB/cell
! ρ: 7.962 Mg/m³
! Space group: No. 71
! E_tot: -51.2 eV per cell
! Energy above the most stable polymorph in this dataset: 0 kJ/mol of formula units
&SYSTEM
  ibrav = 0, nat = 12, ntyp = 3
/
ATOMIC_SPECIES
Sm 150.36 Sm.upf
In 114.82 In.upf
Tm 168.93 Tm.upf
ATOMIC_POSITIONS crystal
Sm 0.170 0.910 0.341
Sm 0.830 0.090 0.659
In 0.000 0.500 0.000
Sm 0.830 0.569 0.659
In 0.673 0.673 0.346
Tm 0.000 0.000 0.000
Sm 0.500 0.733 0.000
In 0.327 0.327 0.654
Sm 0.170 0.431 0.341
In 0.348 0.848 0.696
Sm 0.500 0.267 0.000
In 0.652 0.152 0.304
CELL_PARAMETERS angstrom
4.819 0.020 -1.406
-1.235 7.914 -4.121
0.061 -0.343 9.167